VASP calculation (PBE-GGA) on an optimized crystal structure of Nd2GePb.

Crystal system = tetragonal
Formation enthalpy at 0 K = -0.59 eV per atom
Uncorrected energy = -20.2 eV for the cell shown
Magnetic moment = 0.0 μB per formula unit

Cell lengths 3.4973, 3.4973, 8.9552 Å; angles 90.00, 90.00, 90.00 degrees
Closest atoms and distances in Å follow each position.
Fractional coordinates of all 4 atoms:
Pb1 0.5000 0.5000 0.5000  4 Pb 3.50, 8 Nd 3.51
Ge1 0.5000 0.5000 0.0000  8 Nd 3.18, 4 Ge 3.50
Nd1 0.0000 0.0000 0.7776  4 Ge 3.18, 4 Nd 3.50, 4 Pb 3.51
Nd2 0.0000 0.0000 0.2224  4 Ge 3.18, 4 Nd 3.50, 4 Pb 3.51



VASP calculation (PBE-GGA) on an optimized crystal structure of FeMo4As.

Crystal system = cubic
Formation enthalpy at 0 K = 0.64 eV per atom
Uncorrected energy = -52.6 eV for the cell shown
Magnetic moment = 3.1 μB per formula unit

Cell lengths 5.2065, 5.2065, 5.2065 Å; angles 60.00, 60.00, 60.00 degrees
Closest atoms and distances in Å follow each position.
Fractional coordinates of all 6 atoms:
Fe1 0.0000 0.0000 0.0000  12 Mo 3.05, 4 As 3.19
Mo1 0.6258 0.6258 0.1226  6 Mo 2.59-2.62
Mo2 0.6258 0.1226 0.6258  6 Mo 2.59-2.62
Mo3 0.6258 0.6258 0.6258  6 Mo 2.59-2.62
Mo4 0.1226 0.6258 0.6258  6 Mo 2.59-2.62
As1 0.2500 0.2500 0.2500  12 Mo 3.05, 4 Fe 3.19



VASP calculation (PBE-GGA) on an optimized crystal structure of La3SnN.

Crystal system = monoclinic
Uncorrected formation energy = -863 meV/atom
Uncorrected energy = -62.9 eV for the cell shown
Magnetic moment = 0.0 μB per formula unit

Cell lengths 6.3108, 6.9567, 8.1759 Å; angles 90.00, 128.38, 90.00 degrees
Closest atoms and distances in Å follow each position.
Fractional coordinates of all 10 atoms:
N1 0.8627 0.2500 0.4328  3 La 2.31-2.41
N2 0.1373 0.7500 0.5672  3 La 2.31-2.41
Sn1 0.6941 0.2500 0.8294  9 La 3.32-3.63
Sn2 0.3059 0.7500 0.1706  9 La 3.32-3.63
La1 0.8542 0.9803 0.2441  2 N 2.41-2.62
La2 0.1458 0.0197 0.7559  2 N 2.41-2.62
La3 0.8542 0.5197 0.2441  2 N 2.41-2.62
La4 0.1458 0.4803 0.7559  2 N 2.41-2.62
La5 0.4287 0.2500 0.3296  1 N 2.31
La6 0.5713 0.7500 0.6704  1 N 2.31



VASP calculation (PBE-GGA) on an optimized crystal structure of SrTi2AgHg.

Crystal system = tetragonal
Formation enthalpy at 0 K = 0.83 eV per atom
Uncorrected energy = -16.5 eV for the cell shown
Magnetic moment = 3.4 μB per formula unit

Cell lengths 5.1487, 6.0278, 5.1487 Å; angles 90.00, 90.00, 90.00 degrees
Closest atoms and distances in Å follow each position.
Fractional coordinates of all 5 atoms:
Sr1 0.0000 0.5000 0.0000  2 Hg 3.01
Hg1 0.0000 0.0000 0.0000  4 Ti 2.57
Ag1 0.5000 0.5000 0.5000  4 Sr 3.64, 8 Ti 3.96
Ti1 0.0000 0.0000 0.5000  2 Hg 2.57
Ti2 0.5000 0.0000 0.0000  2 Hg 2.57



VASP calculation (PBE-GGA) on an optimized crystal structure of La2Te2I.

Crystal system = tetragonal
Uncorrected formation energy = -1542 meV/atom
Uncorrected energy = -25.4 eV for the cell shown
Magnetic moment = 0.0 μB per formula unit
Distance to the lowest polymorph of the same formula = 0.0230 eV per atom

Cell lengths 4.5675, 4.5675, 10.1464 Å; angles 103.01, 103.01, 90.00 degrees
Closest atoms and distances in Å follow each position.
Fractional coordinates of all 5 atoms:
La1 0.8357 0.8357 0.6713  1 I 3.16, 5 Te 3.23-3.29
La2 0.1643 0.1643 0.3287  1 I 3.16, 5 Te 3.23-3.29
Te1 0.6646 0.6646 0.3292  5 La 3.23-3.29
Te2 0.3354 0.3354 0.6708  5 La 3.23-3.29
I1 0.0000 0.0000 0.0000  2 La 3.16



VASP calculation (PBE-GGA) on an optimized crystal structure of LaGeTe2.

Crystal system = tetragonal
Uncorrected formation energy = -448 meV/atom
Uncorrected energy = -35.2 eV for the cell shown
Magnetic moment = 0.0 μB per formula unit

Cell lengths 6.0074, 6.0074, 9.7144 Å; angles 71.99, 71.99, 90.00 degrees
Closest atoms and distances in Å follow each position.
Fractional coordinates of all 8 atoms:
Ge1 0.5000 0.5000 0.0000  4 Te 2.97
Ge2 0.2500 0.7500 0.5000  4 Te 2.97
Te1 0.5964 0.1250 0.2500  2 Ge 2.97, 2 La 3.13
Te2 0.1536 0.6250 0.2500  2 Ge 2.97, 2 La 3.13
Te3 0.3750 0.4036 0.7500  2 Ge 2.97, 2 La 3.13
Te4 0.8750 0.8464 0.7500  2 Ge 2.97, 2 La 3.13
La1 0.0000 0.0000 0.0000  4 Te 3.13
La2 0.7500 0.2500 0.5000  4 Te 3.13